The following is a PBE calculation of a relaxed structure of TbPm8Cd2, from Alexandria.

```
data_TbPm8Cd2
_chemical_formula_sum 'Tb2 Pm16 Cd4'
_space_group_name_H-M_alt 'C 1 2/m 1'
_space_group_IT_number 12
_space_group_name_Hall '-C 2y'
_cell_length_a 14.171
_cell_length_b 10.931
_cell_length_c 5.249
_cell_angle_alpha 90.00
_cell_angle_beta 101.09
_cell_angle_gamma 90.00
loop_
_atom_site_label
_atom_site_fract_x
_atom_site_fract_y
_atom_site_fract_z
Tb1 0.000 0.000 0.000
Pm1 0.084 0.500 0.292
Pm2 0.101 0.264 0.789
Pm3 0.239 0.000 0.127
Cd1 0.119 0.000 0.551
```

Properties
Formation energy (eV/atom): 0.28
E above lowest polymorph (meV/atom): 350.7

---

The following is a PBE calculation of a relaxed structure of NdTh2Os, from Alexandria.

```
data_NdTh2Os
_chemical_formula_sum 'Nd1 Th2 Os1'
_space_group_name_H-M_alt 'P 4/m m m'
_space_group_IT_number 123
_space_group_name_Hall '-P 4 2'
_cell_length_a 3.649
_cell_length_b 3.649
_cell_length_c 8.499
_cell_angle_alpha 90.00
_cell_angle_beta 90.00
_cell_angle_gamma 90.00
loop_
_atom_site_label
_atom_site_fract_x
_atom_site_fract_y
_atom_site_fract_z
Nd1 0.000 0.000 0.000
Th1 0.500 0.500 0.306
Os1 0.000 0.000 0.500
```

Properties
Formation energy (eV/atom): 0.00
E above lowest polymorph (meV/atom): 83.0

---

The following is a PBE calculation of a relaxed structure of RePt3, from Alexandria.

```
data_RePt3
_chemical_formula_sum 'Re2 Pt6'
_space_group_name_H-M_alt 'C m m m'
_space_group_IT_number 65
_space_group_name_Hall '-C 2 2'
_cell_length_a 5.554
_cell_length_b 8.011
_cell_length_c 2.765
_cell_angle_alpha 90.00
_cell_angle_beta 90.00
_cell_angle_gamma 90.00
loop_
_atom_site_label
_atom_site_fract_x
_atom_site_fract_y
_atom_site_fract_z
Re1 0.000 0.000 0.000
Pt1 0.000 0.500 0.000
Pt2 0.250 0.250 0.500
```

Properties
Formation energy (eV/atom): 0.02

---

The following is a PBE calculation of a relaxed structure of TbTe2As2Pd7, from Alexandria.

```
data_TbTe2As2Pd7
_chemical_formula_sum 'Tb2 Te4 As4 Pd14'
_space_group_name_H-M_alt 'C 1 2/m 1'
_space_group_IT_number 12
_space_group_name_Hall '-C 2y'
_cell_length_a 5.698
_cell_length_b 5.697
_cell_length_c 15.313
_cell_angle_alpha 90.00
_cell_angle_beta 100.66
_cell_angle_gamma 90.00
loop_
_atom_site_label
_atom_site_fract_x
_atom_site_fract_y
_atom_site_fract_z
Tb1 0.000 0.000 0.000
Te1 0.209 0.000 0.418
As1 0.120 0.500 0.240
Pd1 0.000 0.500 0.000
Pd2 0.178 0.250 0.856
Pd3 0.200 0.500 0.402
```

Properties
Formation energy without anion corrections (eV/f.u.): -6.1

---

The following is a PBE calculation of a relaxed structure of PrDy8Y2, from Alexandria.

```
data_PrDy8Y2
_chemical_formula_sum 'Pr2 Dy16 Y4'
_space_group_name_H-M_alt 'C 1 2/m 1'
_space_group_IT_number 12
_space_group_name_Hall '-C 2y'
_cell_length_a 9.168
_cell_length_b 16.935
_cell_length_c 5.946
_cell_angle_alpha 90.00
_cell_angle_beta 128.10
_cell_angle_gamma 90.00
loop_
_atom_site_label
_atom_site_fract_x
_atom_site_fract_y
_atom_site_fract_z
Pr1 0.000 0.000 0.000
Dy1 0.000 0.202 0.000
Dy2 0.040 0.500 0.778
Dy3 0.226 0.128 0.711
Y1 0.000 0.311 0.500
```

Properties
Formation energy (eV/atom): 0.15
E above lowest polymorph (meV/atom): 35.4

---

The following is a PBE calculation of a relaxed structure of Hf3CuIr, from Alexandria.

```
data_Hf3CuIr
_chemical_formula_sum 'Hf6 Cu2 Ir2'
_space_group_name_H-M_alt 'P -1'
_space_group_IT_number 2
_space_group_name_Hall '-P 1'
_cell_length_a 3.236
_cell_length_b 7.126
_cell_length_c 8.402
_cell_angle_alpha 84.97
_cell_angle_beta 89.95
_cell_angle_gamma 76.93
loop_
_atom_site_label
_atom_site_fract_x
_atom_site_fract_y
_atom_site_fract_z
Hf1 0.034 0.430 0.209
Hf2 0.231 0.038 0.829
Hf3 0.402 0.694 0.434
Cu1 0.208 0.085 0.404
Ir1 0.397 0.707 0.038
```

Properties
Formation energy (eV/atom): -0.39
E above lowest polymorph (meV/atom): 0.0

---

The following is a PBE calculation of a relaxed structure of MgNiSnSe, from Alexandria.

```
data_MgNiSnSe
_chemical_formula_sum 'Mg1 Ni1 Sn1 Se1'
_space_group_name_H-M_alt 'P 3 m 1'
_space_group_IT_number 156
_space_group_name_Hall 'P 3 -2"'
_cell_length_a 4.0965
_cell_length_b 4.0965
_cell_length_c 6.3504
_cell_angle_alpha 90.00
_cell_angle_beta 90.00
_cell_angle_gamma 120.00
loop_
_atom_site_label
_atom_site_fract_x
_atom_site_fract_y
_atom_site_fract_z
Mg1 0.0000 0.0000 0.0000
Ni1 0.6667 0.3333 0.2553
Sn1 0.3333 0.6667 0.3892
Se1 0.3333 0.6667 0.8209
```

Properties
Formation energy without anion corrections (eV/f.u.): -1.2
E above lowest polymorph (meV/atom): 147.4

---

The following is a PBE calculation of a relaxed structure of AcCuRh2, from Alexandria.

```
data_AcCuRh2
_chemical_formula_sum 'Ac4 Cu4 Rh8'
_space_group_name_H-M_alt 'C m c m'
_space_group_IT_number 63
_space_group_name_Hall '-C 2c 2'
_cell_length_a 4.358
_cell_length_b 17.127
_cell_length_c 4.416
_cell_angle_alpha 90.00
_cell_angle_beta 90.00
_cell_angle_gamma 90.00
loop_
_atom_site_label
_atom_site_fract_x
_atom_site_fract_y
_atom_site_fract_z
Ac1 0.000 0.111 0.250
Cu1 0.000 0.326 0.250
Rh1 0.000 0.252 0.750
Rh2 0.000 0.469 0.250
```

Properties
Formation energy (eV/atom): -0.31

---

The following is a PBE calculation of a relaxed structure of La3ZrI, from Alexandria.

```
data_La3ZrI
_chemical_formula_sum 'La3 Zr1 I1'
_space_group_name_H-M_alt 'P m -3 m'
_space_group_IT_number 221
_space_group_name_Hall '-P 4 2 3'
_cell_length_a 5.818
_cell_length_b 5.818
_cell_length_c 5.818
_cell_angle_alpha 90.00
_cell_angle_beta 90.00
_cell_angle_gamma 90.00
loop_
_atom_site_label
_atom_site_fract_x
_atom_site_fract_y
_atom_site_fract_z
La1 0.000 0.000 0.500
Zr1 0.000 0.000 0.000
I1 0.500 0.500 0.500
```

Properties
Formation energy without anion corrections (eV/f.u.): 1.0
E above lowest polymorph (meV/atom): 0.0

---

The following is a PBE calculation of a relaxed structure of CaZnSb, from Alexandria.

```
data_CaZnSb
_chemical_formula_sum 'Ca4 Zn4 Sb4'
_space_group_name_H-M_alt 'F -4 3 m'
_space_group_IT_number 216
_space_group_name_Hall 'F -4 2 3'
_cell_length_a 7.098
_cell_length_b 7.098
_cell_length_c 7.098
_cell_angle_alpha 90.00
_cell_angle_beta 90.00
_cell_angle_gamma 90.00
loop_
_atom_site_label
_atom_site_fract_x
_atom_site_fract_y
_atom_site_fract_z
Ca1 0.000 0.000 0.000
Zn1 0.250 0.250 0.250
Sb1 0.250 0.250 0.750
```

Properties
Formation energy without anion corrections (eV/f.u.): -0.6

---

The following is a PBE calculation of a relaxed structure of Sm6Dy3ThSc2, from Alexandria.

```
data_Sm6Dy3ThSc2
_chemical_formula_sum 'Sm12 Dy6 Th2 Sc4'
_space_group_name_H-M_alt 'C 1 2/m 1'
_space_group_IT_number 12
_space_group_name_Hall '-C 2y'
_cell_length_a 6.130
_cell_length_b 10.610
_cell_length_c 11.770
_cell_angle_alpha 90.00
_cell_angle_beta 100.03
_cell_angle_gamma 90.00
loop_
_atom_site_label
_atom_site_fract_x
_atom_site_fract_y
_atom_site_fract_z
Sm1 0.249 0.000 0.245
Sm2 0.249 0.333 0.246
Dy1 0.000 0.000 0.500
Dy2 0.000 0.333 0.500
Th1 0.000 0.500 0.000
Sc1 0.000 0.167 0.000
```

Properties
Formation energy (eV/atom): 0.05

---

The following is a PBE calculation of a relaxed structure of Ta2TcAg, from Alexandria.

```
data_Ta2TcAg
_chemical_formula_sum 'Ta8 Tc4 Ag4'
_space_group_name_H-M_alt 'F -4 3 m'
_space_group_IT_number 216
_space_group_name_Hall 'F -4 2 3'
_cell_length_a 6.474
_cell_length_b 6.474
_cell_length_c 6.474
_cell_angle_alpha 90.00
_cell_angle_beta 90.00
_cell_angle_gamma 90.00
loop_
_atom_site_label
_atom_site_fract_x
_atom_site_fract_y
_atom_site_fract_z
Ta1 0.000 0.000 0.000
Ta2 0.250 0.250 0.250
Tc1 0.250 0.250 0.750
Ag1 0.000 0.000 0.500
```

Properties
Formation energy (eV/atom): 0.31
E above lowest polymorph (meV/atom): 248.4